A relaxed structure of YHf2Sc. Source: Alexandria, functional PBE.

Calculated values
The density of states at the Fermi level comes out at 6.0 states/eV/cell. As for the magnetic moment: 0.00 μB/cell. Its space group is No. 160. Its total energy is -32.16 eV for the cell shown. The formation energy is 0.14 eV per atom.

a = 3.2776 Å, b = 3.2776 Å, c = 10.7538 Å
α = 81.23°, β = 81.23°, γ = 60.00°
Fractional positions:
Y  0.5001  0.5001  0.4998
Hf  0.0807  0.0807  0.7578
Hf  0.2528  0.2528  0.2415
Sc  0.6663  0.6663  0.0010